The following is a GGA-PBE calculation of a geometry-optimized La5Dy2Tm2 structure, from the Alexandria database.

The structure in POSCAR format:
```
La5Dy2Tm2
1.0
12.944 0.000 0.000
0.000 6.282 0.000
-6.472 -3.141 7.582
La Dy Tm
10 4 4
direct
0.250 0.742 0.900 La
0.750 0.842 0.100 La
0.150 0.242 0.900 La
0.850 0.342 0.100 La
0.327 0.095 0.289 La
0.673 0.807 0.711 La
0.462 0.595 0.289 La
0.538 0.307 0.711 La
0.079 0.793 0.500 La
0.921 0.293 0.500 La
0.185 0.583 0.269 Dy
0.815 0.314 0.731 Dy
0.584 0.083 0.269 Dy
0.416 0.814 0.731 Dy
0.000 0.888 0.000 Tm
0.500 0.388 0.000 Tm
0.192 0.272 0.500 Tm
0.808 0.772 0.500 Tm
```

energy relative to the lowest polymorph listed for this composition: 141 meV per atom
SG: Ima2 (46)
total moment: 0.0 Bohr magnetons per cell
D(E_F): 25.02 states/eV per cell
density: 7.3 Mg/m³

---

The following is a GGA-PBE calculation of a geometry-optimized La6Dy5Tm structure, from the Alexandria database.

The structure in POSCAR format:
```
La6Dy5Tm
1.0
6.201 -0.049 0.165
-0.018 6.849 2.808
0.157 0.045 9.652
Dy Tm La
5 1 6
direct
0.667 0.167 0.667 Dy
0.334 0.333 0.333 Dy
0.000 0.500 0.000 Dy
0.666 0.667 0.667 Dy
0.333 0.833 0.333 Dy
0.000 0.000 0.000 Tm
0.834 0.584 0.333 La
0.834 0.084 0.333 La
0.500 0.751 0.000 La
0.500 0.249 0.000 La
0.166 0.916 0.667 La
0.166 0.416 0.667 La
```

SG: C2/m (12)
total moment: 0.0 Bohr magnetons per cell
D(E_F): 18.49 states/eV per cell
raw total energy: -4.730 eV/atom
density: 7.4 Mg/m³

---

The following is a GGA-PBE calculation of a geometry-optimized La6Dy5Tm2 structure, from the Alexandria database.

The structure in POSCAR format:
```
La6Dy5Tm2
1.0
3.635 0.000 0.000
0.000 11.733 0.000
0.000 0.000 20.937
La Dy Tm
12 10 4
direct
0.000 0.083 0.367 La
0.000 0.917 0.633 La
0.000 0.583 0.133 La
0.000 0.417 0.867 La
0.500 0.328 0.137 La
0.500 0.672 0.863 La
0.500 0.828 0.363 La
0.500 0.172 0.637 La
0.000 0.562 0.419 La
0.000 0.438 0.581 La
0.000 0.062 0.081 La
0.000 0.938 0.919 La
0.500 0.302 0.442 Dy
0.500 0.698 0.558 Dy
0.500 0.802 0.058 Dy
0.500 0.198 0.942 Dy
0.500 0.594 0.272 Dy
0.500 0.406 0.728 Dy
0.500 0.094 0.228 Dy
0.500 0.906 0.772 Dy
0.500 0.500 0.000 Dy
0.500 0.000 0.500 Dy
0.000 0.336 0.292 Tm
0.000 0.664 0.708 Tm
0.000 0.836 0.208 Tm
0.000 0.164 0.792 Tm
```

SG: Pbam (55)
total moment: 0.0 Bohr magnetons per cell
D(E_F): 34.80 states/eV per cell
raw total energy: -4.620 eV/atom
density: 7.4 Mg/m³

---

The following is a GGA-PBE calculation of a geometry-optimized LaDy6Tm3 structure, from the Alexandria database.

The structure in POSCAR format:
```
LaDy6Tm3
1.0
8.628 0.000 4.578
3.099 8.052 4.578
2.157 1.481 6.353
La Dy Tm
1 6 3
direct
0.900 0.900 0.300 La
0.903 0.564 0.296 Dy
0.237 0.903 0.296 Dy
0.564 0.237 0.296 Dy
0.070 0.403 0.795 Dy
0.732 0.070 0.795 Dy
0.403 0.732 0.795 Dy
0.398 0.398 0.807 Tm
0.642 0.642 0.074 Tm
0.151 0.151 0.548 Tm
```

energy relative to the lowest polymorph listed for this composition: 120 meV per atom
SG: R3 (146)
total moment: 0.0 Bohr magnetons per cell
D(E_F): 21.43 states/eV per cell
density: 8.3 Mg/m³

---

The following is a GGA-PBE calculation of a geometry-optimized La7Dy2Tm3 structure, from the Alexandria database.

The structure in POSCAR format:
```
La7Dy2Tm3
1.0
-1.863 -2.515 -1.718
4.564 -4.401 1.492
-5.214 -7.077 16.011
La Dy Tm
7 2 3
direct
0.500 0.228 0.509 La
0.500 0.772 0.491 La
0.000 0.555 0.167 La
0.000 0.000 0.000 La
0.000 0.445 0.833 La
0.500 0.945 0.826 La
0.500 0.055 0.174 La
0.500 0.612 0.330 Dy
0.500 0.388 0.670 Dy
0.500 0.500 0.000 Tm
0.000 0.121 0.338 Tm
0.000 0.879 0.662 Tm
```

SG: P2/m (10)
total moment: 0.0 Bohr magnetons per cell
D(E_F): 16.27 states/eV per cell
raw total energy: -4.693 eV/atom
density: 7.3 Mg/m³

---

The following is a GGA-PBE calculation of a geometry-optimized La4Dy3Tm structure, from the Alexandria database.

The structure in POSCAR format:
```
La4Dy3Tm
1.0
3.662 0.000 0.000
0.000 6.232 0.815
-1.831 1.561 12.066
La Dy Tm
4 3 1
direct
0.377 0.457 0.754 La
0.623 0.543 0.246 La
0.748 0.756 0.496 La
0.252 0.244 0.504 La
0.000 0.500 0.000 Dy
0.122 0.046 0.243 Dy
0.878 0.954 0.757 Dy
0.500 0.000 0.000 Tm
```

energy relative to the lowest polymorph listed for this composition: 0 meV per atom
SG: C2/m (12)
total moment: 0.0 Bohr magnetons per cell
D(E_F): 10.74 states/eV per cell
density: 7.4 Mg/m³

---

The following is a GGA-PBE calculation of a geometry-optimized La5DyTm6 structure, from the Alexandria database.

The structure in POSCAR format:
```
La5DyTm6
1.0
-5.243 2.192 -2.269
-0.438 -5.748 -4.547
-5.149 -7.189 3.646
Dy Tm La
1 6 5
direct
0.000 0.000 0.000 Dy
0.831 0.585 0.331 Tm
0.831 0.084 0.331 Tm
0.500 0.751 0.000 Tm
0.500 0.249 0.000 Tm
0.169 0.916 0.669 Tm
0.169 0.415 0.669 Tm
0.669 0.164 0.672 La
0.333 0.333 0.334 La
0.000 0.500 0.000 La
0.667 0.667 0.666 La
0.331 0.836 0.328 La
```

SG: C2/m (12)
total moment: 0.0 Bohr magnetons per cell
D(E_F): 17.77 states/eV per cell
raw total energy: -4.643 eV/atom
density: 7.8 Mg/m³

---

The following is a GGA-PBE calculation of a geometry-optimized LaDy10Tm4 structure, from the Alexandria database.

The structure in POSCAR format:
```
LaDy10Tm4
1.0
-5.873 -0.503 2.899
-6.906 -0.379 -6.615
-2.263 -9.213 1.260
La Dy Tm
1 10 4
direct
0.000 0.000 0.000 La
0.250 0.500 0.500 Dy
0.624 0.418 0.838 Dy
0.959 0.162 0.418 Dy
0.538 0.838 0.582 Dy
0.880 0.582 0.162 Dy
0.376 0.582 0.162 Dy
0.750 0.500 0.500 Dy
0.120 0.418 0.838 Dy
0.462 0.162 0.418 Dy
0.041 0.838 0.582 Dy
0.432 0.891 0.244 Tm
0.676 0.756 0.891 Tm
0.324 0.244 0.109 Tm
0.568 0.109 0.756 Tm
```

SG: I4/m (87)
total moment: 0.0 Bohr magnetons per cell
D(E_F): 29.67 states/eV per cell
raw total energy: -4.035 eV/atom
density: 7.6 Mg/m³

---

The following is a GGA-PBE calculation of a geometry-optimized LaDy7Tm4 structure, from the Alexandria database.

The structure in POSCAR format:
```
LaDy7Tm4
1.0
3.542 0.000 0.000
-1.771 3.067 0.000
0.000 0.000 34.639
La Dy Tm
1 7 4
direct
0.000 0.000 0.500 La
0.000 0.000 0.000 Dy
0.667 0.333 0.587 Dy
0.333 0.667 0.413 Dy
0.667 0.333 0.835 Dy
0.333 0.667 0.165 Dy
0.000 0.000 0.248 Dy
0.000 0.000 0.752 Dy
0.667 0.333 0.082 Tm
0.333 0.667 0.918 Tm
0.667 0.333 0.330 Tm
0.333 0.667 0.670 Tm
```

energy relative to the lowest polymorph listed for this composition: 24 meV per atom
SG: P-3m1 (164)
total moment: 0.0 Bohr magnetons per cell
D(E_F): 17.75 states/eV per cell
density: 8.6 Mg/m³

---

The following is a GGA-PBE calculation of a geometry-optimized La4DyTm3 structure, from the Alexandria database.

The structure in POSCAR format:
```
La4DyTm3
1.0
-0.207 -6.128 1.685
7.260 -0.009 0.860
-1.314 3.104 11.127
La Dy Tm
8 2 6
direct
0.141 0.872 0.000 La
0.658 0.130 0.000 La
0.979 0.127 0.256 La
0.479 0.873 0.244 La
0.158 0.870 0.500 La
0.641 0.128 0.500 La
0.479 0.873 0.756 La
0.979 0.127 0.744 La
0.152 0.378 0.000 Dy
0.652 0.622 0.500 Dy
0.649 0.616 0.000 Tm
0.979 0.618 0.250 Tm
0.479 0.382 0.250 Tm
0.149 0.384 0.500 Tm
0.479 0.382 0.750 Tm
0.979 0.618 0.750 Tm
```

SG: Pmn2_1 (31)
total moment: 0.0 Bohr magnetons per cell
D(E_F): 27.38 states/eV per cell
raw total energy: -4.682 eV/atom
density: 7.5 Mg/m³

---

The following is a GGA-PBE calculation of a geometry-optimized La6DyTm8 structure, from the Alexandria database.

The structure in POSCAR format:
```
La6DyTm8
1.0
0.790 -5.327 6.959
8.069 -2.548 2.414
3.375 3.302 7.425
La Dy Tm
6 1 8
direct
0.910 0.466 0.767 La
0.233 0.090 0.534 La
0.534 0.233 0.090 La
0.466 0.767 0.910 La
0.767 0.910 0.466 La
0.090 0.534 0.233 La
0.000 0.000 0.000 Dy
0.114 0.702 0.767 Tm
0.233 0.886 0.298 Tm
0.298 0.233 0.886 Tm
0.577 0.577 0.577 Tm
0.423 0.423 0.423 Tm
0.702 0.767 0.114 Tm
0.767 0.114 0.702 Tm
0.886 0.298 0.233 Tm
```

SG: R-3 (148)
total moment: 0.0 Bohr magnetons per cell
D(E_F): 23.34 states/eV per cell
raw total energy: -4.545 eV/atom
density: 7.8 Mg/m³

---

The following is a GGA-PBE calculation of a geometry-optimized La5Dy2Tm structure, from the Alexandria database.

The structure in POSCAR format:
```
La5Dy2Tm
1.0
-0.933 -1.301 -5.444
-3.248 -3.833 4.430
-12.778 10.470 -0.310
La Dy Tm
10 4 2
direct
0.923 0.846 0.906 La
0.923 0.846 0.594 La
0.386 0.772 0.447 La
0.386 0.772 0.053 La
0.531 0.061 0.250 La
0.469 0.939 0.750 La
0.614 0.228 0.553 La
0.614 0.228 0.947 La
0.077 0.154 0.094 La
0.077 0.154 0.406 La
0.774 0.548 0.363 Dy
0.774 0.548 0.137 Dy
0.226 0.452 0.637 Dy
0.226 0.452 0.863 Dy
0.749 0.498 0.750 Tm
0.251 0.502 0.250 Tm
```

energy relative to the lowest polymorph listed for this composition: 0 meV per atom
SG: Cmcm (63)
total moment: 0.0 Bohr magnetons per cell
D(E_F): 22.53 states/eV per cell
density: 6.9 Mg/m³